[1]
A relaxed Tb6MgTc crystal, computed with GGA-PBE.

a = 6.819 Å, b = 6.907 Å, c = 7.462 Å
α = 63.18°, β = 63.76°, γ = 60.51°
Element x y z (fractional)
Tb1 0.032 0.419 0.261
Tb2 0.215 0.971 0.741
Tb3 0.417 0.790 0.260
Tb4 0.583 0.210 0.740
Tb5 0.785 0.029 0.259
Tb6 0.968 0.581 0.739
Mg1 0.500 0.500 0.000
Tc1 0.000 0.000 0.500

The value obtained for the formation enthalpy at 0 K is 0.25 eV/atom. The space-group type is P-1, No. 2. For the density of states at the Fermi level, the calculation gives 11.14 states/eV per cell.

***

[2]
A relaxed TlH2N crystal, computed with GGA-PBE.

a = 10.311 Å, b = 3.935 Å, c = 7.195 Å
α = 90.00°, β = 92.06°, γ = 90.00°
Element x y z (fractional)
Tl1 0.000 0.238 0.000
Tl2 0.000 0.762 0.500
Tl3 0.500 0.262 0.500
Tl4 0.500 0.738 0.000
H1 0.192 0.318 0.700
H2 0.192 0.682 0.200
H3 0.195 0.332 0.316
H4 0.195 0.668 0.816
H5 0.692 0.182 0.200
H6 0.692 0.818 0.700
H7 0.695 0.168 0.816
H8 0.695 0.832 0.316
N1 0.132 0.495 0.755
N2 0.132 0.505 0.255
N3 0.632 0.005 0.255
N4 0.632 0.995 0.755

As for the polymorph energy (0 for the lowest one): 0.0 kJ per mole of atoms. The space-group type is Cc, No. 9.

***

Ordered M_tot results: 0.0; 0.0; unit Bohr magnetons per cell.